# PBE-GGA CsNaHf2Mg, optimized geometry
data_CsNaHf2Mg
_chemical_formula_sum 'Cs1 Na1 Hf2 Mg1'
_cell_length_a 5.414
_cell_length_b 5.414
_cell_length_c 5.457
_cell_angle_alpha 90.00
_cell_angle_beta 90.00
_cell_angle_gamma 90.00
_symmetry_space_group_name_H-M 'P 4/m m m'
_symmetry_Int_Tables_number 123
_symmetry_space_group_name_Hall '-P 4 2'
loop_
_atom_site_label
_atom_site_type_symbol
_atom_site_fract_x
_atom_site_fract_y
_atom_site_fract_z
Cs1 Cs 0.000 0.000 0.000
Na1 Na 0.000 0.000 0.500
Hf1 Hf 0.000 0.500 0.000
Mg1 Mg 0.500 0.500 0.500
# DOS(E_F) (states/eV per cell): 3.32
# Total magnetization (μB/atom): 0.000
# E_form (eV per atom): 1.91